*one*
The following is a DFT calculation (PBE) of a relaxed La3NdCo crystal.

Results
The total moment comes out at 0.0 μB/f.u. The density of states at the Fermi level is 1.33 states/eV/atom.

The structure in CIF format:
```
data_La3NdCo
_cell_length_a 7.7382
_cell_length_b 6.6385
_cell_length_c 6.4100
_cell_angle_alpha 90.00
_cell_angle_beta 90.00
_cell_angle_gamma 90.00
_space_group_name_H-M_alt 'P m n 21'
_space_group_IT_number 31
loop_
_space_group_symop_operation_xyz
'x,y,z'
'-x+1/2,-y,z+1/2'
'-x,y,z'
'x+1/2,-y,z+1/2'
loop_
_atom_site_label
_atom_site_type_symbol
_atom_site_fract_x
_atom_site_fract_y
_atom_site_fract_z
La1 La 0.0000 0.1506 0.0000
La2 La 0.2485 0.6665 0.9977
Nd1 Nd 0.0000 0.8428 0.4995
Co1 Co 0.0000 0.4944 0.2453
```



*two*
The following is a DFT calculation (PBE) of a relaxed La3NdCo crystal.

Results
The total moment comes out at 0.0 μB/f.u. The density of states at the Fermi level is 2.03 states/eV/atom.

The structure in CIF format:
```
data_La3NdCo
_cell_length_a 5.5039
_cell_length_b 5.5039
_cell_length_c 5.5039
_cell_angle_alpha 90.00
_cell_angle_beta 90.00
_cell_angle_gamma 90.00
_space_group_name_H-M_alt 'P m -3 m'
_space_group_IT_number 221
_space_group_name_Hall '-P 4 2 3'
loop_
_atom_site_label
_atom_site_type_symbol
_atom_site_fract_x
_atom_site_fract_y
_atom_site_fract_z
La1 La 0.0000 0.0000 0.5000
Nd1 Nd 0.5000 0.5000 0.5000
Co1 Co 0.0000 0.0000 0.0000
```



Which structure is the most stable? The one labeled *one*.



*one*
The following is a DFT calculation (PBE) of a relaxed LaNd2Co2 crystal.

Results
The total moment comes out at 0.0 μB/f.u. The density of states at the Fermi level is 1.10 states/eV/atom.

The structure in CIF format:
```
data_LaNd2Co2
_cell_length_a 11.6221
_cell_length_b 3.8173
_cell_length_c 5.9027
_cell_angle_alpha 90.00
_cell_angle_beta 106.81
_cell_angle_gamma 90.00
_space_group_name_H-M_alt 'C 1 2/m 1'
_space_group_IT_number 12
loop_
_space_group_symop_operation_xyz
'x,y,z'
'-x,-y,-z'
'-x,y,-z'
'x,-y,z'
'x+1/2,y+1/2,z'
'-x+1/2,-y+1/2,-z'
'-x+1/2,y+1/2,-z'
'x+1/2,-y+1/2,z'
loop_
_atom_site_label
_atom_site_type_symbol
_atom_site_fract_x
_atom_site_fract_y
_atom_site_fract_z
La1 La 0.0000 0.0000 0.0000
Nd1 Nd 0.1500 0.5000 0.5924
Co1 Co 0.2224 0.5000 0.1012
```



*two*
The following is a DFT calculation (PBE) of a relaxed LaNd2Co2 crystal.

Results
The total moment comes out at 0.0 μB/f.u. The density of states at the Fermi level is 0.74 states/eV/atom.

The structure in CIF format:
```
data_LaNd2Co2
_cell_length_a 12.0128
_cell_length_b 5.3787
_cell_length_c 8.7053
_cell_angle_alpha 90.00
_cell_angle_beta 111.26
_cell_angle_gamma 90.00
_space_group_name_H-M_alt 'C 1 2/c 1'
_space_group_IT_number 15
loop_
_space_group_symop_operation_xyz
'x,y,z'
'-x,-y,-z'
'-x,y,-z+1/2'
'x,-y,z+1/2'
'x+1/2,y+1/2,z'
'-x+1/2,-y+1/2,-z'
'-x+1/2,y+1/2,-z+1/2'
'x+1/2,-y+1/2,z+1/2'
loop_
_atom_site_label
_atom_site_type_symbol
_atom_site_fract_x
_atom_site_fract_y
_atom_site_fract_z
La1 La 0.0000 0.9995 0.2500
Nd1 Nd 0.1797 0.5004 0.0898
Co1 Co 0.1302 0.0004 0.0650
```



Which structure is the most stable? The one labeled *two*.



*one*
The following is a DFT calculation (PBE) of a relaxed LaCo2Ni2 crystal.

Results
The total moment comes out at 3.7 μB/f.u. The density of states at the Fermi level is 1.35 states/eV/atom.

The structure in CIF format:
```
data_LaCo2Ni2
_cell_length_a 7.1923
_cell_length_b 7.1923
_cell_length_c 2.7990
_cell_angle_alpha 90.00
_cell_angle_beta 90.00
_cell_angle_gamma 90.00
_space_group_name_H-M_alt 'P 4/m b m'
_space_group_IT_number 127
_space_group_name_Hall '-P 4 2ab'
loop_
_atom_site_label
_atom_site_type_symbol
_atom_site_fract_x
_atom_site_fract_y
_atom_site_fract_z
La1 La 0.0000 0.0000 0.0000
Co1 Co 0.1203 0.3797 0.0000
Ni1 Ni 0.1679 0.6679 0.5000
```



*two*
The following is a DFT calculation (PBE) of a relaxed LaCo2Ni2 crystal.

Results
The total moment comes out at 3.6 μB/f.u. The density of states at the Fermi level is 0.82 states/eV/atom.

The structure in CIF format:
```
data_LaCo2Ni2
_cell_length_a 3.8878
_cell_length_b 3.8878
_cell_length_c 10.4038
_cell_angle_alpha 90.00
_cell_angle_beta 90.00
_cell_angle_gamma 90.00
_space_group_name_H-M_alt 'I 4/m m m'
_space_group_IT_number 139
_space_group_name_Hall '-I 4 2'
loop_
_atom_site_label
_atom_site_type_symbol
_atom_site_fract_x
_atom_site_fract_y
_atom_site_fract_z
La1 La 0.0000 0.0000 0.0000
Co1 Co 0.0000 0.5000 0.2500
Ni1 Ni 0.0000 0.0000 0.3835
```



Which structure is the most stable? The one labeled *two*.